Entry from the Alexandria database: crystalline LiYTh2 at its relaxed geometry (PBE).

- spin magnetization (μB per cell) = 0.0
- distance to the lowest polymorph of the same formula (meV per atom) = 106.7
- space-group type = R-3m (166)
- DOS at the Fermi energy (states/eV per cell) = 4.757
- ρ (g/cm3) = 7.21
- DFT total energy (Ha/atom) = -0.20394

a = 12.725 Å, b = 12.725 Å, c = 12.725 Å
α = 15.54°, β = 15.54°, γ = 15.54°
Atoms (fractional coordinates):
Li: 0.000 0.000 0.000
Y: 0.500 0.500 0.500
Th: 0.088 0.088 0.088
Th: 0.912 0.912 0.912